# PBE CuIrSCl2, optimized geometry
# Calculated total energy (eV per atom): -3.736
data_CuIrSCl2
_chemical_formula_sum 'Cu1 Ir1 S1 Cl2'
_cell_length_a 5.007
_cell_length_b 5.007
_cell_length_c 4.412
_cell_angle_alpha 90.00
_cell_angle_beta 90.00
_cell_angle_gamma 90.00
_symmetry_space_group_name_H-M 'P 4/m m m'
_symmetry_Int_Tables_number 123
_symmetry_space_group_name_Hall '-P 4 2'
loop_
_atom_site_label
_atom_site_type_symbol
_atom_site_fract_x
_atom_site_fract_y
_atom_site_fract_z
_atom_site_occupancy
Cu1 Cu 0.000 0.000 0.000 1
Ir1 Ir 0.500 0.500 0.500 1
S1 S 0.500 0.500 0.000 1
Cl1 Cl 0.000 0.500 0.500 1

=====

# PBE CuIrS2Cl, optimized geometry
# Calculated total energy (eV per atom): -4.018
data_CuIrS2Cl
_chemical_formula_sum 'Cu1 Ir1 S2 Cl1'
_cell_length_a 4.602
_cell_length_b 4.602
_cell_length_c 4.950
_cell_angle_alpha 90.00
_cell_angle_beta 90.00
_cell_angle_gamma 90.00
_symmetry_space_group_name_H-M 'P 4/m m m'
_symmetry_Int_Tables_number 123
_symmetry_space_group_name_Hall '-P 4 2'
loop_
_atom_site_label
_atom_site_type_symbol
_atom_site_fract_x
_atom_site_fract_y
_atom_site_fract_z
_atom_site_occupancy
Cu1 Cu 0.000 0.000 0.000 1
Ir1 Ir 0.500 0.500 0.500 1
S1 S 0.000 0.500 0.500 1
Cl1 Cl 0.500 0.500 0.000 1

=====

# PBE CuIrSCl2, optimized geometry
# Calculated total energy (eV per atom): -3.202
data_CuIrSCl2
_chemical_formula_sum 'Cu1 Ir1 S1 Cl2'
_cell_length_a 4.380
_cell_length_b 4.380
_cell_length_c 5.128
_cell_angle_alpha 90.00
_cell_angle_beta 90.00
_cell_angle_gamma 90.00
_symmetry_space_group_name_H-M 'P 4/m m m'
_symmetry_Int_Tables_number 123
_symmetry_space_group_name_Hall '-P 4 2'
loop_
_atom_site_label
_atom_site_type_symbol
_atom_site_fract_x
_atom_site_fract_y
_atom_site_fract_z
_atom_site_occupancy
Cu1 Cu 0.000 0.000 0.000 1
Ir1 Ir 0.500 0.500 0.500 1
S1 S 0.000 0.000 0.500 1
Cl1 Cl 0.000 0.500 0.000 1

=====

# PBE CuIrS2Cl, optimized geometry
# Calculated total energy (eV per atom): -3.500
data_CuIrS2Cl
_chemical_formula_sum 'Cu1 Ir1 S2 Cl1'
_cell_length_a 4.560
_cell_length_b 4.560
_cell_length_c 4.345
_cell_angle_alpha 90.00
_cell_angle_beta 90.00
_cell_angle_gamma 90.00
_symmetry_space_group_name_H-M 'P 4/m m m'
_symmetry_Int_Tables_number 123
_symmetry_space_group_name_Hall '-P 4 2'
loop_
_atom_site_label
_atom_site_type_symbol
_atom_site_fract_x
_atom_site_fract_y
_atom_site_fract_z
_atom_site_occupancy
Cu1 Cu 0.000 0.000 0.000 1
Ir1 Ir 0.500 0.500 0.500 1
S1 S 0.000 0.500 0.000 1
Cl1 Cl 0.000 0.000 0.500 1

=====

# PBE Cu2SiIrCl, optimized geometry
# Calculated total energy (eV per atom): -3.775
data_Cu2SiIrCl
_chemical_formula_sum 'Cu2 Si1 Ir1 Cl1'
_cell_length_a 4.118
_cell_length_b 4.118
_cell_length_c 5.001
_cell_angle_alpha 90.00
_cell_angle_beta 90.00
_cell_angle_gamma 90.00
_symmetry_space_group_name_H-M 'P 4/m m m'
_symmetry_Int_Tables_number 123
_symmetry_space_group_name_Hall '-P 4 2'
loop_
_atom_site_label
_atom_site_type_symbol
_atom_site_fract_x
_atom_site_fract_y
_atom_site_fract_z
_atom_site_occupancy
Cu1 Cu 0.000 0.500 0.000 1
Si1 Si 0.000 0.000 0.500 1
Ir1 Ir 0.500 0.500 0.500 1
Cl1 Cl 0.000 0.000 0.000 1

=====

# PBE TiCuIr2Cl, optimized geometry
# Calculated total energy (eV per atom): -5.387
data_TiCuIr2Cl
_chemical_formula_sum 'Ti1 Cu1 Ir2 Cl1'
_cell_length_a 4.640
_cell_length_b 4.640
_cell_length_c 4.611
_cell_angle_alpha 90.00
_cell_angle_beta 90.00
_cell_angle_gamma 90.00
_symmetry_space_group_name_H-M 'P 4/m m m'
_symmetry_Int_Tables_number 123
_symmetry_space_group_name_Hall '-P 4 2'
loop_
_atom_site_label
_atom_site_type_symbol
_atom_site_fract_x
_atom_site_fract_y
_atom_site_fract_z
_atom_site_occupancy
Ti1 Ti 0.000 0.000 0.000 1
Cu1 Cu 0.500 0.500 0.500 1
Ir1 Ir 0.000 0.500 0.000 1
Cl1 Cl 0.000 0.000 0.500 1

=====

# PBE TlCuIrCl6, optimized geometry
# Calculated total energy (eV per atom): -3.533
data_TlCuIrCl6
_chemical_formula_sum 'Tl1 Cu1 Ir1 Cl6'
_cell_length_a 6.3350
_cell_length_b 6.3350
_cell_length_c 7.1505
_cell_angle_alpha 90.00
_cell_angle_beta 90.00
_cell_angle_gamma 120.00
_symmetry_space_group_name_H-M 'P 3 1 2'
_symmetry_Int_Tables_number 149
loop_
_symmetry_equiv_pos_as_xyz
'x,y,z'
'-y,x-y,z'
'-x+y,-x,z'
'-y,-x,-z'
'-x+y,y,-z'
'x,x-y,-z'
loop_
_atom_site_label
_atom_site_type_symbol
_atom_site_fract_x
_atom_site_fract_y
_atom_site_fract_z
_atom_site_occupancy
Tl1 Tl 0.0000 0.0000 0.0000 1
Cu1 Cu 0.3333 0.6667 0.5000 1
Ir1 Ir 0.6667 0.3333 0.5000 1
Cl1 Cl 0.3717 0.0156 0.6858 1

=====

# PBE TlCu2IrCl8, optimized geometry
# Calculated total energy (eV per atom): -3.416
data_TlCu2IrCl8
_chemical_formula_sum 'Tl1 Cu2 Ir1 Cl8'
_cell_length_a 6.066
_cell_length_b 7.094
_cell_length_c 8.419
_cell_angle_alpha 65.21
_cell_angle_beta 89.28
_cell_angle_gamma 82.57
_symmetry_space_group_name_H-M 'P -1'
_symmetry_Int_Tables_number 2
loop_
_symmetry_equiv_pos_as_xyz
'x,y,z'
'-x,-y,-z'
loop_
_atom_site_label
_atom_site_type_symbol
_atom_site_fract_x
_atom_site_fract_y
_atom_site_fract_z
_atom_site_occupancy
Tl1 Tl 0.000 0.000 0.000 1
Cu1 Cu 0.498 0.325 0.190 1
Ir1 Ir 0.000 0.000 0.500 1
Cl1 Cl 0.140 0.214 0.231 1
Cl2 Cl 0.166 0.171 0.641 1
Cl3 Cl 0.320 0.751 0.558 1
Cl4 Cl 0.419 0.696 0.066 1

=====

- Among the records above, which one has the highest calculated total energy?
  number 3

=====

Please write out number 8 again, unchanged.
# PBE TlCu2IrCl8, optimized geometry
# Calculated total energy (eV per atom): -3.416
data_TlCu2IrCl8
_chemical_formula_sum 'Tl1 Cu2 Ir1 Cl8'
_cell_length_a 6.066
_cell_length_b 7.094
_cell_length_c 8.419
_cell_angle_alpha 65.21
_cell_angle_beta 89.28
_cell_angle_gamma 82.57
_symmetry_space_group_name_H-M 'P -1'
_symmetry_Int_Tables_number 2
loop_
_symmetry_equiv_pos_as_xyz
'x,y,z'
'-x,-y,-z'
loop_
_atom_site_label
_atom_site_type_symbol
_atom_site_fract_x
_atom_site_fract_y
_atom_site_fract_z
_atom_site_occupancy
Tl1 Tl 0.000 0.000 0.000 1
Cu1 Cu 0.498 0.325 0.190 1
Ir1 Ir 0.000 0.000 0.500 1
Cl1 Cl 0.140 0.214 0.231 1
Cl2 Cl 0.166 0.171 0.641 1
Cl3 Cl 0.320 0.751 0.558 1
Cl4 Cl 0.419 0.696 0.066 1

=====

- Which value of calculated total energy does entry 5 give?
  -3.775 eV per atom